{"formula": "LiLa2Be", "functional": "GGA-PBE", "state": "optimized geometry", "volume_a3_per_atom": 26.4, "sg": "P4/mmm (123)", "dft_energy_ev_per_atom": -3.7614, "lattice_angstrom": [[-2.782, 2.288, 0.815], [-0.176, -1.426, 3.403], [5.073, 5.286, 2.477]], "species": ["Be", "La", "La", "Li"], "fractional_positions": [[0.500, 0.500, 0.750], [0.000, 0.000, 0.955], [0.000, 0.000, 0.545], [0.500, 0.500, 0.250]]}

---

{"formula": "LiLa2Be", "functional": "GGA-PBE", "state": "optimized geometry", "volume_a3_per_atom": 24.9, "sg": "I-4m2 (119)", "dft_energy_ev_per_atom": -3.5840, "lattice_angstrom": [[-4.429, -1.125, -3.888], [-2.069, -5.625, -0.282], [1.148, 4.038, 4.288]], "species": ["Be", "La", "La", "Li"], "fractional_positions": [[0.750, 0.250, 0.500], [0.250, 0.750, 0.500], [0.000, 0.000, 0.000], [0.500, 0.500, 0.000]]}

---

{"formula": "LiLa2Be2", "functional": "GGA-PBE", "state": "optimized geometry", "volume_a3_per_atom": 23.8, "sg": "P4/mbm (127)", "dft_energy_ev_per_atom": -3.5955, "lattice_angstrom": [[-0.050, 7.439, -3.112], [-5.309, -2.373, -5.587], [-2.759, 0.915, 2.232]], "species": ["Be", "Be", "Be", "Be", "La", "La", "La", "La", "Li", "Li"], "fractional_positions": [[0.401, 0.901, 0.000], [0.099, 0.401, 0.000], [0.901, 0.599, 0.000], [0.599, 0.099, 0.000], [0.314, 0.186, 0.500], [0.814, 0.314, 0.500], [0.686, 0.814, 0.500], [0.186, 0.686, 0.500], [0.000, 0.000, 0.000], [0.500, 0.500, 0.000]]}

---

{"formula": "LiLa3Be", "functional": "GGA-PBE", "state": "optimized geometry", "volume_a3_per_atom": 34.7, "sg": "Pm-3m (221)", "dft_energy_ev_per_atom": -3.7071, "lattice_angstrom": [[5.579, 0.000, 0.000], [0.000, 5.579, 0.000], [0.000, 0.000, 5.579]], "species": ["Be", "La", "La", "La", "Li"], "fractional_positions": [[0.000, 0.000, 0.000], [0.000, 0.500, 0.000], [0.500, 0.000, 0.000], [0.000, 0.000, 0.500], [0.500, 0.500, 0.500]]}

---

{"formula": "LiLaBeP2", "functional": "GGA-PBE", "state": "optimized geometry", "volume_a3_per_atom": 17.0, "sg": "I-4m2 (119)", "dft_energy_ev_per_atom": -5.1346, "lattice_angstrom": [[-2.778, 0.762, -2.504], [-2.560, -1.555, 2.366], [1.834, 5.581, 2.573]], "species": ["P", "P", "La", "Be", "Li"], "fractional_positions": [[0.364, 0.364, 0.728], [0.636, 0.636, 0.272], [0.000, 0.000, 0.000], [0.750, 0.250, 0.500], [0.250, 0.750, 0.500]]}

---

{"formula": "LiLa3Be2Pd9", "functional": "GGA-PBE", "state": "optimized geometry", "volume_a3_per_atom": 18.1, "sg": "P-3m1 (164)", "dft_energy_ev_per_atom": -5.3648, "lattice_angstrom": [[-6.130, -1.391, 2.147], [1.733, -1.426, -6.252], [2.185, -6.431, 2.072]], "species": ["La", "La", "La", "Pd", "Pd", "Pd", "Pd", "Pd", "Pd", "Pd", "Pd", "Pd", "Be", "Be", "Li"], "fractional_positions": [[0.667, 0.333, 0.333], [0.000, 0.000, 0.000], [0.333, 0.667, 0.667], [0.000, 0.500, 0.000], [0.827, 0.173, 0.670], [0.173, 0.827, 0.330], [0.347, 0.173, 0.670], [0.653, 0.827, 0.330], [0.827, 0.653, 0.670], [0.500, 0.000, 0.000], [0.173, 0.347, 0.330], [0.500, 0.500, 0.000], [0.667, 0.333, 0.840], [0.333, 0.667, 0.160], [0.000, 0.000, 0.500]]}

---

{"formula": "Li2LaBePd", "functional": "GGA-PBE", "state": "optimized geometry", "volume_a3_per_atom": 18.6, "sg": "P4/mmm (123)", "dft_energy_ev_per_atom": -3.6137, "lattice_angstrom": [[4.519, 0.000, 0.000], [0.000, 4.519, 0.000], [0.000, 0.000, 4.552]], "species": ["Pd", "Be", "Li", "Li", "La"], "fractional_positions": [[0.000, 0.000, 0.500], [0.000, 0.000, 0.000], [0.500, 0.000, 0.000], [0.000, 0.500, 0.000], [0.500, 0.500, 0.500]]}

---

{"formula": "LiLa2BePd6", "functional": "GGA-PBE", "state": "optimized geometry", "volume_a3_per_atom": 18.6, "sg": "P-1 (2)", "dft_energy_ev_per_atom": -5.3124, "lattice_angstrom": [[5.942, 0.001, -0.003], [-0.012, 6.928, 0.698], [2.959, 3.936, 4.902]], "species": ["La", "La", "Pd", "Pd", "Pd", "Pd", "Pd", "Pd", "Be", "Li"], "fractional_positions": [[0.739, 0.262, 0.524], [0.261, 0.738, 0.476], [0.742, 0.772, 0.516], [0.259, 0.742, 0.970], [0.741, 0.258, 0.030], [0.258, 0.228, 0.484], [0.229, 0.258, 0.030], [0.771, 0.742, 0.970], [0.500, 0.500, 0.000], [0.000, 0.000, 0.000]]}

---

{"formula": "LiLa2BePt6", "functional": "GGA-PBE", "state": "optimized geometry", "volume_a3_per_atom": 19.0, "sg": "C2/m (12)", "dft_energy_ev_per_atom": -6.0019, "lattice_angstrom": [[7.390, -0.022, -1.234], [0.015, 5.709, -0.012], [2.876, 2.855, 4.018]], "species": ["Pt", "Pt", "Pt", "Pt", "Pt", "Pt", "La", "La", "Be", "Li"], "fractional_positions": [[0.289, 0.258, 0.484], [0.711, 0.742, 0.031], [0.289, 0.773, 0.969], [0.711, 0.227, 0.031], [0.289, 0.258, 0.969], [0.711, 0.742, 0.516], [0.857, 0.286, 0.429], [0.143, 0.714, 0.571], [0.500, 0.500, 0.000], [0.000, 0.000, 0.000]]}

---

{"formula": "LiLaBePt2", "functional": "GGA-PBE", "state": "optimized geometry", "volume_a3_per_atom": 17.8, "sg": "P4/mmm (123)", "dft_energy_ev_per_atom": -5.2063, "lattice_angstrom": [[4.521, 0.000, 0.000], [0.000, 4.521, 0.000], [0.000, 0.000, 4.351]], "species": ["Pt", "Pt", "La", "Li", "Be"], "fractional_positions": [[0.500, 0.000, 0.000], [0.000, 0.500, 0.000], [0.500, 0.500, 0.500], [0.000, 0.000, 0.500], [0.000, 0.000, 0.000]]}

---

{"formula": "LiLa2BePt2", "functional": "GGA-PBE", "state": "optimized geometry", "volume_a3_per_atom": 20.9, "sg": "Ibam (72)", "dft_energy_ev_per_atom": -5.3403, "lattice_angstrom": [[-2.262, 4.211, -3.115], [2.622, -2.263, -4.964], [-6.059, -5.054, 2.793]], "species": ["La", "La", "La", "La", "Pt", "Pt", "Pt", "Pt", "Li", "Li", "Be", "Be"], "fractional_positions": [[0.070, 0.340, 0.679], [0.930, 0.660, 0.321], [0.391, 0.160, 0.321], [0.609, 0.840, 0.679], [0.389, 0.607, 0.214], [0.826, 0.107, 0.214], [0.174, 0.893, 0.786], [0.611, 0.393, 0.786], [0.000, 0.250, 0.000], [0.000, 0.750, 0.000], [0.500, 0.750, 0.000], [0.500, 0.250, 0.000]]}

---

{"formula": "LiLaBeRe2", "functional": "GGA-PBE", "state": "optimized geometry", "volume_a3_per_atom": 24.6, "sg": "P4/mmm (123)", "dft_energy_ev_per_atom": -4.6260, "lattice_angstrom": [[4.919, 0.000, 0.000], [0.000, 5.081, 0.000], [0.000, 0.000, 4.919]], "species": ["Re", "Re", "La", "Li", "Be"], "fractional_positions": [[0.000, 0.000, 0.500], [0.500, 0.000, 0.000], [0.000, 0.000, 0.000], [0.500, 0.500, 0.500], [0.000, 0.500, 0.000]]}

---

Repeat the tenth record exactly.
{"formula": "LiLaBePt2", "functional": "GGA-PBE", "state": "optimized geometry", "volume_a3_per_atom": 17.8, "sg": "P4/mmm (123)", "dft_energy_ev_per_atom": -5.2063, "lattice_angstrom": [[4.521, 0.000, 0.000], [0.000, 4.521, 0.000], [0.000, 0.000, 4.351]], "species": ["Pt", "Pt", "La", "Li", "Be"], "fractional_positions": [[0.500, 0.000, 0.000], [0.000, 0.500, 0.000], [0.500, 0.500, 0.500], [0.000, 0.000, 0.500], [0.000, 0.000, 0.000]]}